{
  "formula": "TbIn2Rh4",
  "functional": "PBE-GGA",
  "state": "relaxed",
  "lattice": [[-3.238, 3.238, 3.155], [3.238, -3.238, 3.155], [3.238, 3.238, -3.155]],
  "species": ["Tb", "In", "In", "Rh", "Rh", "Rh", "Rh"],
  "frac_coords": [[0.000, 0.000, 0.000], [0.000, 0.500, 0.500], [0.500, 0.000, 0.500], [0.000, 0.000, 0.500], [0.000, 0.500, 0.000], [0.500, 0.000, 0.000], [0.500, 0.500, 0.500]],
  "space_group": "I4/mmm (139)",
  "formation_enthalpy_0k_mev_per_atom": -270
}